[1]
Here is a crystal of Sr2ReRu relaxed with PBEsol from the Alexandria database. Energies are from meta-GGA SCAN.

E above lowest polymorph, eV per atom: 0.000
Formation enthalpy at 0 K, kJ/mol of atoms: 47

Geometry as CIF:
```
data_Sr2ReRu
_chemical_formula_sum 'Sr2 Re1 Ru1'
_cell_length_a 3.261
_cell_length_b 3.261
_cell_length_c 9.452
_cell_angle_alpha 90.00
_cell_angle_beta 90.00
_cell_angle_gamma 90.00
_symmetry_space_group_name_H-M 'P 4 m m'
_symmetry_Int_Tables_number 99
_symmetry_space_group_name_Hall 'P 4 -2'
loop_
_atom_site_label
_atom_site_type_symbol
_atom_site_fract_x
_atom_site_fract_y
_atom_site_fract_z
Sr1 Sr 0.000 0.000 0.000
Sr2 Sr 0.500 0.500 0.396
Re1 Re 0.000 0.000 0.644
Ru1 Ru 0.500 0.500 0.757
```

[2]
Here is a crystal of TcSnGe2Ir relaxed with PBEsol from the Alexandria database. Energies are from meta-GGA SCAN.

Formation enthalpy at 0 K, kJ/mol of atoms: 175

Geometry as CIF:
```
data_TcSnGe2Ir
_chemical_formula_sum 'Tc1 Sn1 Ge2 Ir1'
_cell_length_a 5.011
_cell_length_b 5.011
_cell_length_c 4.846
_cell_angle_alpha 90.00
_cell_angle_beta 90.00
_cell_angle_gamma 90.00
_symmetry_space_group_name_H-M 'P 4/m m m'
_symmetry_Int_Tables_number 123
_symmetry_space_group_name_Hall '-P 4 2'
loop_
_atom_site_label
_atom_site_type_symbol
_atom_site_fract_x
_atom_site_fract_y
_atom_site_fract_z
Tc1 Tc 0.000 0.000 0.000
Sn1 Sn 0.500 0.500 0.500
Ge1 Ge 0.000 0.500 0.500
Ir1 Ir 0.500 0.500 0.000
```

[3]
Here is a crystal of IrSe2Cl relaxed with PBEsol from the Alexandria database. Energies are from meta-GGA SCAN.

E above lowest polymorph, eV per atom: 0.682
Raw formation energy, meV/atom: 443.9

Geometry as CIF:
```
data_IrSe2Cl
_chemical_formula_sum 'Ir2 Se4 Cl2'
_cell_length_a 2.887
_cell_length_b 5.216
_cell_length_c 10.330
_cell_angle_alpha 90.00
_cell_angle_beta 90.00
_cell_angle_gamma 90.00
_symmetry_space_group_name_H-M 'C m m 2'
_symmetry_Int_Tables_number 35
_symmetry_space_group_name_Hall 'C 2 -2'
loop_
_atom_site_label
_atom_site_type_symbol
_atom_site_fract_x
_atom_site_fract_y
_atom_site_fract_z
Ir1 Ir 0.000 0.000 0.000
Se1 Se 0.000 0.000 0.488
Se2 Se 0.000 0.500 0.193
Cl1 Cl 0.000 0.500 0.810
```

[4]
Here is a crystal of Cu2HgTe2 relaxed with PBEsol from the Alexandria database. Energies are from meta-GGA SCAN.

E above lowest polymorph, eV per atom: 0.263
Raw formation energy, meV/atom: 208.9

Geometry as CIF:
```
data_Cu2HgTe2
_chemical_formula_sum 'Cu4 Hg2 Te4'
_cell_length_a 5.148
_cell_length_b 5.148
_cell_length_c 8.174
_cell_angle_alpha 90.00
_cell_angle_beta 90.00
_cell_angle_gamma 90.00
_symmetry_space_group_name_H-M 'I 4/m m m'
_symmetry_Int_Tables_number 139
_symmetry_space_group_name_Hall '-I 4 2'
loop_
_atom_site_label
_atom_site_type_symbol
_atom_site_fract_x
_atom_site_fract_y
_atom_site_fract_z
Cu1 Cu 0.000 0.000 0.165
Hg1 Hg 0.000 0.000 0.500
Te1 Te 0.000 0.500 0.250
```

[5]
Here is a crystal of Sc2P2I relaxed with PBEsol from the Alexandria database. Energies are from meta-GGA SCAN.

Raw formation energy, meV/atom: -1046.3

Geometry as CIF:
```
data_Sc2P2I
_chemical_formula_sum 'Sc4 P4 I2'
_cell_length_a 4.884
_cell_length_b 4.884
_cell_length_c 8.580
_cell_angle_alpha 90.00
_cell_angle_beta 90.00
_cell_angle_gamma 90.00
_symmetry_space_group_name_H-M 'I 4/m m m'
_symmetry_Int_Tables_number 139
_symmetry_space_group_name_Hall '-I 4 2'
loop_
_atom_site_label
_atom_site_type_symbol
_atom_site_fract_x
_atom_site_fract_y
_atom_site_fract_z
Sc1 Sc 0.000 0.500 0.250
P1 P 0.000 0.000 0.128
I1 I 0.000 0.000 0.500
```

[6]
Here is a crystal of Ti3PtC relaxed with PBEsol from the Alexandria database. Energies are from meta-GGA SCAN.

E above lowest polymorph, eV per atom: 0.000
Formation enthalpy at 0 K, kJ/mol of atoms: -98

Geometry as CIF:
```
data_Ti3PtC
_chemical_formula_sum 'Ti12 Pt4 C4'
_cell_length_a 5.842
_cell_length_b 8.166
_cell_length_c 5.828
_cell_angle_alpha 90.00
_cell_angle_beta 90.00
_cell_angle_gamma 90.00
_symmetry_space_group_name_H-M 'I m m a'
_symmetry_Int_Tables_number 74
_symmetry_space_group_name_Hall '-I 2b 2'
loop_
_atom_site_label
_atom_site_type_symbol
_atom_site_fract_x
_atom_site_fract_y
_atom_site_fract_z
Ti1 Ti 0.000 0.250 0.080
Ti2 Ti 0.250 0.043 0.750
Pt1 Pt 0.000 0.250 0.508
C1 C 0.000 0.000 0.000
```

[7]
Here is a crystal of CdHgSe2 relaxed with PBEsol from the Alexandria database. Energies are from meta-GGA SCAN.

E above lowest polymorph, eV per atom: 0.000
Raw formation energy, meV/atom: -444.0

Geometry as CIF:
```
data_CdHgSe2
_chemical_formula_sum 'Cd3 Hg3 Se6'
_cell_length_a 4.3220
_cell_length_b 4.3220
_cell_length_c 21.1264
_cell_angle_alpha 90.00
_cell_angle_beta 90.00
_cell_angle_gamma 120.00
_symmetry_space_group_name_H-M 'R 3 m'
_symmetry_Int_Tables_number 160
_symmetry_space_group_name_Hall 'R 3 -2"'
loop_
_atom_site_label
_atom_site_type_symbol
_atom_site_fract_x
_atom_site_fract_y
_atom_site_fract_z
Cd1 Cd 0.0000 0.0000 0.0000
Hg1 Hg 0.0000 0.0000 0.5007
Se1 Se 0.0000 0.0000 0.1249
Se2 Se 0.0000 0.0000 0.6264
```

[8]
Here is a crystal of SrTiAs2 relaxed with PBEsol from the Alexandria database. Energies are from meta-GGA SCAN.

Formation enthalpy at 0 K, kJ/mol of atoms: -47

Geometry as CIF:
```
data_SrTiAs2
_chemical_formula_sum 'Sr4 Ti4 As8'
_cell_length_a 6.914
_cell_length_b 6.914
_cell_length_c 6.914
_cell_angle_alpha 90.00
_cell_angle_beta 90.00
_cell_angle_gamma 90.00
_symmetry_space_group_name_H-M 'F m -3 m'
_symmetry_Int_Tables_number 225
_symmetry_space_group_name_Hall '-F 4 2 3'
loop_
_atom_site_label
_atom_site_type_symbol
_atom_site_fract_x
_atom_site_fract_y
_atom_site_fract_z
Sr1 Sr 0.000 0.000 0.000
Ti1 Ti 0.000 0.000 0.500
As1 As 0.250 0.250 0.250
```

The evaluated VASP energy for the records listed, in turn: -148.53; -171.17; -234.92; -344.04; -182.49; -533.94; -421.54; -322.47 eV/cell.